1.
Compound: UTa2Se5
Source: Alexandria
Functional: PBE
Structure: relaxed

abc: 6.8431 6.8431 6.8396
angles: 90.29 90.29 130.40
Fractional positions:
U 0.0000 0.0000 0.0000
Ta 0.2899 0.7101 0.0000
Ta 0.7101 0.2899 0.0000
Se 0.0022 0.6607 0.7408
Se 0.3393 0.9978 0.2592
Se 0.5000 0.5000 0.0000
Se 0.6607 0.0022 0.7408
Se 0.9978 0.3393 0.2592

Summary:
Its formation energy (no corrections) is -0.664 eV per atom. The calculation puts the calculated density at 6.8 g/cm³.

2.
Compound: AcTbRh2
Source: Alexandria
Functional: PBE
Structure: relaxed

abc: 6.0972 6.0972 6.0972
angles: 43.63 43.63 43.63
Fractional positions:
Ac 0.0000 0.0000 0.0000
Tb 0.5000 0.5000 0.5000
Rh 0.2230 0.2230 0.2230
Rh 0.7770 0.7770 0.7770

Summary:
The calculation puts the calculated formation energy at -0.631 eV per atom. The calculation puts the calculated density at 10.0 g/cm³.

3.
Compound: YTcOs2
Source: Alexandria
Functional: PBE
Structure: relaxed

abc: 5.9437 5.9437 5.9437
angles: 102.27 102.27 125.09
Fractional positions:
Y 0.0000 0.0000 0.0000
Y 0.7500 0.2500 0.5000
Tc 0.2500 0.7500 0.5000
Tc 0.5000 0.5000 0.0000
Os 0.1783 0.6250 0.0533
Os 0.3750 0.4283 0.5533
Os 0.5717 0.1250 0.9467
Os 0.8750 0.8217 0.4467

Summary:
The calculation puts the calculated formation energy at 0.578 eV per atom. The calculation puts the calculated density at 12.4 g/cm³.

4.
Compound: ThSc5Pd6
Source: Alexandria
Functional: PBE
Structure: relaxed

abc: 4.8007 6.6522 7.6035
angles: 90.00 108.00 90.00
Fractional positions:
Th 0.0000 0.0000 0.0000
Sc 0.0000 0.5000 0.0000
Sc 0.3260 0.0000 0.6549
Sc 0.3308 0.5000 0.6659
Sc 0.6692 0.5000 0.3341
Sc 0.6740 0.0000 0.3451
Pd 0.1774 0.2569 0.3458
Pd 0.1774 0.7431 0.3458
Pd 0.5000 0.2668 0.0000
Pd 0.5000 0.7332 0.0000
Pd 0.8226 0.2569 0.6542
Pd 0.8226 0.7431 0.6542

Summary:
The calculation puts the calculated formation energy at -0.831 eV per atom. The calculation puts the calculated density at 7.9 g/cm³.

5.
Compound: NaAlTe3
Source: Alexandria
Functional: PBE
Structure: relaxed

abc: 8.6976 8.1043 11.9931
angles: 90.00 120.05 90.00
Fractional positions:
Na 0.2291 0.2059 0.3733
Na 0.2291 0.2941 0.8733
Na 0.7709 0.7059 0.1267
Na 0.7709 0.7941 0.6267
Al 0.1294 0.6647 0.5522
Al 0.1294 0.8353 0.0522
Al 0.8706 0.1647 0.9478
Al 0.8706 0.3353 0.4478
Te 0.2004 0.6244 0.2439
Te 0.2004 0.8756 0.7439
Te 0.2172 0.1463 0.1125
Te 0.2172 0.3537 0.6125
Te 0.3206 0.6852 0.9658
Te 0.3206 0.8148 0.4658
Te 0.6794 0.1852 0.5342
Te 0.6794 0.3148 0.0342
Te 0.7828 0.6463 0.3875
Te 0.7828 0.8537 0.8875
Te 0.7996 0.1244 0.2561
Te 0.7996 0.3756 0.7561

Summary:
Its formation energy (no corrections) is -0.524 eV per atom. The calculation puts the calculated density at 3.9 g/cm³.

6.
Compound: SiB2PC
Source: Alexandria
Functional: PBE
Structure: relaxed

abc: 2.9187 2.9187 7.1917
angles: 90.04 90.04 59.77
Fractional positions:
Si 0.0000 0.0000 0.0000
B 0.6672 0.6672 0.6846
B 0.9990 0.9990 0.2868
P 0.6664 0.6664 0.3979
C 0.9992 0.9992 0.7350

Summary:
Its formation energy (no corrections) is 0.254 eV per atom. The calculation puts the calculated density at 2.9 g/cm³.

7.
Compound: MnIn2Cl
Source: Alexandria
Functional: PBE
Structure: relaxed

abc: 3.1853 3.1853 9.5511
angles: 90.00 90.00 90.00
Fractional positions:
Mn 0.0000 0.0000 0.0000
In 0.0000 0.0000 0.5149
In 0.5000 0.5000 0.7856
Cl 0.5000 0.5000 0.1449

Summary:
Its formation energy (no corrections) is -0.135 eV per atom. The calculation puts the calculated density at 5.5 g/cm³.

8.
Compound: K2TaP
Source: Alexandria
Functional: PBE
Structure: relaxed

abc: 2.8873 2.8873 11.6994
angles: 90.00 90.00 97.56
Fractional positions:
K 0.0000 0.0000 0.2111
K 0.0000 0.0000 0.7889
Ta 0.5000 0.5000 0.5000
P 0.5000 0.5000 0.0000

Summary:
The calculation puts the calculated formation energy at 0.819 eV per atom. The calculation puts the calculated density at 5.0 g/cm³.

9.
Compound: Sb2POs
Source: Alexandria
Functional: PBE
Structure: relaxed

abc: 4.9172 4.9172 3.1560
angles: 90.00 90.00 90.00
Fractional positions:
Sb 0.0000 0.5000 0.0000
Sb 0.5000 0.0000 0.0000
P 0.0000 0.0000 0.5000
Os 0.5000 0.5000 0.5000

Summary:
Its formation energy (no corrections) is 0.757 eV per atom. The calculation puts the calculated density at 10.1 g/cm³.

10.
Compound: Ac3InRu
Source: Alexandria
Functional: PBE
Structure: relaxed

abc: 10.1861 4.2921 16.2869
angles: 90.00 90.00 90.00
Fractional positions:
Ac 0.0227 0.2500 0.1073
Ac 0.1667 0.2500 0.5018
Ac 0.2187 0.7500 0.2869
Ac 0.2813 0.2500 0.7869
Ac 0.3333 0.7500 0.0018
Ac 0.4773 0.7500 0.6073
Ac 0.5227 0.2500 0.3927
Ac 0.6667 0.2500 0.9982
Ac 0.7187 0.7500 0.2131
Ac 0.7813 0.2500 0.7131
Ac 0.8333 0.7500 0.4982
Ac 0.9773 0.7500 0.8927
In 0.0612 0.7500 0.6725
In 0.4388 0.2500 0.1725
In 0.5612 0.7500 0.8275
In 0.9388 0.2500 0.3275
Ru 0.1656 0.2500 0.9400
Ru 0.3344 0.7500 0.4400
Ru 0.6656 0.2500 0.5600
Ru 0.8344 0.7500 0.0600

Summary:
The calculation puts the calculated formation energy at -0.286 eV per atom. The calculation puts the calculated density at 8.4 g/cm³.

11.
Compound: RbTl6Au3
Source: Alexandria
Functional: PBE
Structure: relaxed

abc: 12.0450 4.4187 12.3213
angles: 90.00 106.09 90.00
Fractional positions:
Rb 0.0053 0.2500 0.2447
Rb 0.9947 0.7500 0.7553
Tl 0.1213 0.7500 0.5193
Tl 0.1986 0.2500 0.9746
Tl 0.2867 0.2500 0.7338
Tl 0.3172 0.2500 0.2527
Tl 0.4116 0.7500 0.0479
Tl 0.4248 0.7500 0.5536
Tl 0.5752 0.2500 0.4464
Tl 0.5884 0.2500 0.9521
Tl 0.6828 0.7500 0.7473
Tl 0.7133 0.7500 0.2662
Tl 0.8014 0.7500 0.0254
Tl 0.8787 0.2500 0.4807
Au 0.0770 0.7500 0.0461
Au 0.2619 0.2500 0.4689
Au 0.4533 0.7500 0.8084
Au 0.5467 0.2500 0.1916
Au 0.7381 0.7500 0.5311
Au 0.9230 0.2500 0.9539

Summary:
The calculation puts the calculated formation energy at -0.039 eV per atom. The calculation puts the calculated density at 10.0 g/cm³.

12.
Compound: Np2MnCo3H12
Source: Alexandria
Functional: PBE
Structure: relaxed

abc: 5.7173 5.7173 5.7173
angles: 59.55 59.55 59.55
Fractional positions:
Np 0.1181 0.1181 0.1181
Np 0.8819 0.8819 0.8819
Mn 0.5000 0.5000 0.5000
Co 0.0000 0.5000 0.5000
Co 0.5000 0.0000 0.5000
Co 0.5000 0.5000 0.0000
H 0.1391 0.6036 0.6036
H 0.1668 0.1668 0.6365
H 0.1668 0.6365 0.1668
H 0.3635 0.8332 0.8332
H 0.3964 0.3964 0.8609
H 0.3964 0.8609 0.3964
H 0.6036 0.1391 0.6036
H 0.6036 0.6036 0.1391
H 0.6365 0.1668 0.1668
H 0.8332 0.3635 0.8332
H 0.8332 0.8332 0.3635
H 0.8609 0.3964 0.3964

Summary:
The calculation puts the calculated density at 9.1 g/cm³. Its energy is -97.54 eV for the cell shown.

13.
Compound: K5Rb2Hg4
Source: Alexandria
Functional: PBE
Structure: relaxed

abc: 14.2535 14.2535 9.0738
angles: 108.51 108.51 19.78
Fractional positions:
K 0.0000 0.0000 0.0000
K 0.3228 0.3228 0.0504
K 0.3225 0.3225 0.5942
K 0.6775 0.6775 0.4058
K 0.6772 0.6772 0.9496
Rb 0.0801 0.0801 0.5798
Rb 0.9199 0.9199 0.4202
Hg 0.2148 0.2148 0.7156
Hg 0.5000 0.5000 0.3204
Hg 0.5000 0.5000 0.6796
Hg 0.7852 0.7852 0.2844

Summary:
The calculation puts the calculated formation energy at -0.119 eV per atom. The calculation puts the calculated density at 3.3 g/cm³.

14.
Compound: CaBRu
Source: Alexandria
Functional: PBE
Structure: relaxed

abc: 3.6111 3.6111 4.4244
angles: 90.00 90.00 120.00
Fractional positions:
Ca 0.0000 0.0000 0.0000
B 0.3333 0.6667 0.5000
Ru 0.6667 0.3333 0.5000

Summary:
The calculation puts the calculated formation energy at -0.221 eV per atom. The calculation puts the calculated density at 5.1 g/cm³.

15.
Compound: TaZnI3
Source: Alexandria
Functional: PBE
Structure: relaxed

abc: 5.5809 5.5809 5.5809
angles: 90.00 90.00 90.00
Fractional positions:
Ta 0.0000 0.0000 0.0000
Zn 0.5000 0.5000 0.5000
I 0.0000 0.0000 0.5000
I 0.0000 0.5000 0.0000
I 0.5000 0.0000 0.0000

Summary:
Its formation energy (no corrections) is 0.251 eV per atom. The calculation puts the calculated density at 6.0 g/cm³.

16.
Compound: Ca2CrHg
Source: Alexandria
Functional: PBE
Structure: relaxed

abc: 6.3055 6.3055 6.3055
angles: 144.47 130.28 62.60
Fractional positions:
Ca 0.0000 0.0000 0.0000
Ca 0.7119 0.2119 0.5000
Cr 0.2682 0.7682 0.5000
Hg 0.4603 0.4603 0.0000

Summary:
The calculation puts the calculated formation energy at 0.108 eV per atom. The calculation puts the calculated density at 5.0 g/cm³.

17.
Compound: Sb2AuIN
Source: Alexandria
Functional: PBE
Structure: relaxed

abc: 4.8535 4.8535 4.7423
angles: 90.00 90.00 90.00
Fractional positions:
Sb 0.0000 0.5000 0.0000
Sb 0.5000 0.0000 0.0000
Au 0.0000 0.0000 0.5000
I 0.5000 0.5000 0.5000
N 0.5000 0.5000 0.0000

Summary:
Its formation energy (no corrections) is 0.834 eV per atom. The calculation puts the calculated density at 8.6 g/cm³.

18.
Compound: Ac3Nd4Y4
Source: Alexandria
Functional: PBE
Structure: relaxed

abc: 3.6758 5.8768 19.0104
angles: 98.84 95.54 90.01
Fractional positions:
Ac 0.0000 0.0000 0.0000
Ac 0.1360 0.6370 0.2734
Ac 0.8640 0.3630 0.7266
Nd 0.2655 0.2654 0.5310
Nd 0.4091 0.9080 0.8171
Nd 0.5909 0.0920 0.1829
Nd 0.7345 0.7346 0.4690
Y 0.3178 0.8172 0.6351
Y 0.4551 0.4537 0.9088
Y 0.5449 0.5463 0.0912
Y 0.6822 0.1828 0.3649

Summary:
The calculation puts the calculated formation energy at 0.054 eV per atom. The calculation puts the calculated density at 6.6 g/cm³.

19.
Compound: CaTl2Os
Source: Alexandria
Functional: PBE
Structure: relaxed

abc: 3.6976 4.6345 5.8697
angles: 90.00 107.23 90.00
Fractional positions:
Ca 0.0000 0.0000 0.0000
Tl 0.3490 0.5000 0.6767
Tl 0.7268 0.0000 0.4473
Os 0.5664 0.5000 0.1819

Summary:
The calculation puts the calculated formation energy at 0.487 eV per atom. The calculation puts the calculated density at 11.0 g/cm³.

20.
Compound: Pu2Sc5
Source: Alexandria
Functional: PBE
Structure: relaxed

abc: 7.6865 7.6865 8.4138
angles: 93.99 93.99 44.01
Fractional positions:
Pu 0.0878 0.7700 0.8882
Pu 0.2300 0.9122 0.6118
Pu 0.7700 0.0878 0.3882
Pu 0.9122 0.2300 0.1118
Sc 0.0515 0.3779 0.8224
Sc 0.1954 0.5163 0.5332
Sc 0.3395 0.6605 0.2500
Sc 0.3779 0.0515 0.3224
Sc 0.4837 0.8046 0.9668
Sc 0.5163 0.1954 0.0332
Sc 0.6221 0.9485 0.6776
Sc 0.6605 0.3395 0.7500
Sc 0.8046 0.4837 0.4668
Sc 0.9485 0.6221 0.1776

Summary:
The calculation puts the calculated formation energy at 0.067 eV per atom. The calculation puts the calculated density at 6.9 g/cm³.